1.
! Li2ScSbF (GGA-PBE, optimized geometry); values from VASP
&SYSTEM
  ibrav = 0, nat = 5, ntyp = 4
/
ATOMIC_SPECIES
Li 6.94 Li.upf
Sc 44.96 Sc.upf
Sb 121.76 Sb.upf
F 19.00 F.upf
CELL_PARAMETERS angstrom
4.1951 0.0000 0.0000
0.0000 4.1951 0.0000
0.0000 0.0000 4.6350
ATOMIC_POSITIONS crystal
Li 0.0000 0.5000 0.0000
Li 0.5000 0.0000 0.0000
Sc 0.0000 0.0000 0.5000
Sb 0.5000 0.5000 0.5000
F 0.0000 0.0000 0.0000
! - DOS at the Fermi energy (states/eV/f.u.) = 2.10
! - calculated density (g cm⁻³) = 4.1
! - energy relative to the elements, uncorrected (eV per atom) = -1.4424
! - raw total energy (eV per atom) = -4.67
! - space group = P4/mmm (123)



2.
! GeWI2 (GGA-PBE, optimized geometry); values from VASP
&SYSTEM
  ibrav = 0, nat = 4, ntyp = 3
/
ATOMIC_SPECIES
Ge 72.64 Ge.upf
W 183.84 W.upf
I 126.90 I.upf
CELL_PARAMETERS angstrom
0.0000 3.5245 3.5245
3.5245 0.0000 3.5245
3.5245 3.5245 0.0000
ATOMIC_POSITIONS crystal
Ge 0.0000 0.0000 0.0000
W 0.5000 0.5000 0.5000
I 0.2500 0.2500 0.2500
I 0.7500 0.7500 0.7500
! - DOS at the Fermi energy (states/eV/f.u.) = 6.02
! - calculated density (g cm⁻³) = 9.7
! - energy relative to the elements, uncorrected (eV per atom) = 1.1981
! - polymorph energy (0 for the lowest one) (eV/f.u.) = 2.36
! - raw total energy (eV per atom) = -3.97
! - space group = Fm-3m (225)



3.
! Ta4Ge2N (GGA-PBE, optimized geometry); values from VASP
&SYSTEM
  ibrav = 0, nat = 7, ntyp = 3
/
ATOMIC_SPECIES
Ta 180.95 Ta.upf
Ge 72.64 Ge.upf
N 14.01 N.upf
CELL_PARAMETERS angstrom
-2.0654 2.0654 6.7913
2.0654 -2.0654 6.7913
2.0654 2.0654 -6.7913
ATOMIC_POSITIONS crystal
Ta 0.0000 0.5000 0.5000
Ta 0.1617 0.1617 0.0000
Ta 0.5000 0.0000 0.5000
Ta 0.8383 0.8383 0.0000
Ge 0.3553 0.3553 0.0000
Ge 0.6447 0.6447 0.0000
N 0.0000 0.0000 0.0000
! - DOS at the Fermi energy (states/eV/f.u.) = 7.04
! - calculated density (g cm⁻³) = 12.7
! - energy relative to the elements, uncorrected (eV per atom) = -0.1690
! - raw total energy (eV per atom) = -9.45
! - space group = I4/mmm (139)



4.
! Pm4TcAg (GGA-PBE, optimized geometry); values from VASP
&SYSTEM
  ibrav = 0, nat = 12, ntyp = 3
/
ATOMIC_SPECIES
Pm 145.00 Pm.upf
Tc 98.00 Tc.upf
Ag 107.87 Ag.upf
CELL_PARAMETERS angstrom
4.3329 -6.4624 0.0000
4.3329 6.4624 0.0000
-1.8703 0.0000 6.1264
ATOMIC_POSITIONS crystal
Pm 0.0672 0.7225 0.9575
Pm 0.2104 0.3678 0.5966
Pm 0.2775 0.9328 0.5425
Pm 0.3678 0.2104 0.0966
Pm 0.6322 0.7896 0.9034
Pm 0.7225 0.0672 0.4575
Pm 0.7896 0.6322 0.4034
Pm 0.9328 0.2775 0.0425
Tc 0.0006 0.9994 0.7500
Tc 0.9994 0.0006 0.2500
Ag 0.3741 0.6259 0.2500
Ag 0.6259 0.3741 0.7500
! - DOS at the Fermi energy (states/eV/f.u.) = 5.19
! - calculated density (g cm⁻³) = 7.6
! - energy of formation (meV/atom) = -113
! - raw total energy (eV per atom) = -5.48
! - space group = C2/c (15)